# RbCr2FeAg (GGA-PBEsol, optimized geometry)
# **DFT formation energy**: 1.59 eV per atom
# **Crystal system**: tetragonal
data_RbCr2FeAg
_chemical_formula_sum 'Rb1 Cr2 Fe1 Ag1'
_space_group_name_H-M_alt 'P 1'
_space_group_IT_number 1
_space_group_name_Hall 'P 1'
_cell_length_a 4.886
_cell_length_b 5.140
_cell_length_c 5.140
_cell_angle_alpha 90.00
_cell_angle_beta 90.00
_cell_angle_gamma 90.00
loop_
_atom_site_label
_atom_site_fract_x
_atom_site_fract_y
_atom_site_fract_z
Cr1 0.000 0.000 0.500
Cr2 0.000 0.500 0.000
Rb1 0.500 0.500 0.500
Ag1 0.000 0.000 0.000
Fe1 0.500 0.000 0.000



# Ba2LaAu (GGA-PBEsol, optimized geometry)
# **DFT formation energy**: -0.24 eV per atom
# **Crystal system**: trigonal
data_Ba2LaAu
_chemical_formula_sum 'Ba2 La1 Au1'
_space_group_name_H-M_alt 'P 1'
_space_group_IT_number 1
_space_group_name_Hall 'P 1'
_cell_length_a 4.386
_cell_length_b 4.386
_cell_length_c 10.891
_cell_angle_alpha 78.38
_cell_angle_beta 78.38
_cell_angle_gamma 60.00
loop_
_atom_site_label
_atom_site_fract_x
_atom_site_fract_y
_atom_site_fract_z
Au1 0.242 0.242 0.274
Ba1 0.972 0.972 0.083
Ba2 0.758 0.758 0.725
La1 0.527 0.527 0.418



# Ce2TeO2 (GGA-PBEsol, optimized geometry)
# **Crystal system**: tetragonal
# **Raw formation energy**: -2.804 eV per atom
data_Ce2TeO2
_chemical_formula_sum 'Ce2 Te1 O2'
_space_group_name_H-M_alt 'P 1'
_space_group_IT_number 1
_space_group_name_Hall 'P 1'
_cell_length_a 3.977
_cell_length_b 3.977
_cell_length_c 6.902
_cell_angle_alpha 106.74
_cell_angle_beta 106.74
_cell_angle_gamma 90.00
loop_
_atom_site_label
_atom_site_fract_x
_atom_site_fract_y
_atom_site_fract_z
Te1 0.000 0.000 0.000
O1 0.250 0.750 0.500
O2 0.750 0.250 0.500
Ce1 0.345 0.345 0.690
Ce2 0.655 0.655 0.310